Computed, not measured: a relaxed MnZnPt2 crystal at the GGA-PBE level of DFT.

Properties
**DFT formation energy**: -0.433 eV/atom
**Volume**: 14.86 Å³/atom

Cell lengths 4.4876, 2.9325, 4.5169 Å; angles 90.00, 90.00, 90.00 degrees
Atoms (fractional coordinates):
Zn: 0.0000 0.6248 0.4008
Mn: 0.5000 0.6249 0.8501
Pt: 0.0000 0.1253 0.8993
Pt: 0.5000 0.1249 0.3498



Computed, not measured: a relaxed NaPd3 crystal at the GGA-PBE level of DFT.

Properties
**DFT formation energy**: 0.055 eV/atom
**Volume**: 16.41 Å³/atom

Cell lengths 4.5283, 4.5283, 4.5283 Å; angles 60.00, 60.00, 60.00 degrees
Atoms (fractional coordinates):
Na: 0.5000 0.5000 0.5000
Pd: 0.0000 0.0000 0.0000
Pd: 0.7500 0.7500 0.7500
Pd: 0.2500 0.2500 0.2500